CsDySnCl6: optimized geometry, PBE-GGA.

Geometry as CIF:
```
data_CsDySnCl6
_cell_length_a 7.3099
_cell_length_b 7.3099
_cell_length_c 7.5641
_cell_angle_alpha 90.00
_cell_angle_beta 90.00
_cell_angle_gamma 120.00
_symmetry_space_group_name_H-M 'P 3 1 2'
_symmetry_Int_Tables_number 149
loop_
_symmetry_equiv_pos_as_xyz
'x,y,z'
'-y,x-y,z'
'-x+y,-x,z'
'-y,-x,-z'
'-x+y,y,-z'
'x,x-y,-z'
loop_
_atom_site_label
_atom_site_fract_x
_atom_site_fract_y
_atom_site_fract_z
Cs1 0.0000 0.0000 0.0000
Dy1 0.6667 0.3333 0.5000
Sn1 0.3333 0.6667 0.5000
Cl1 0.3871 0.0212 0.7031
```

**E_tot**: -37.133 eV/f.u.
**Energy relative to the elements, uncorrected**: -1.84 eV per atom